GGA-PBE Ba3LaPm2Se6, relaxed; energy relative to the elements, uncorrected = -1.939 eV/atom; space-group type = C2/m (12); crystal system = monoclinic; VASP energy = -5.365 eV/atom
1.0
3.814 -6.599 0.000
3.814 6.599 0.000
-2.544 0.000 7.439
Ba La Pm Se
3 1 2 6
Cartesian
0.000 0.000 0.000
3.814 2.186 0.000
3.814 -2.186 0.000
2.542 0.000 3.719
2.542 4.400 3.719
2.542 -4.400 3.719
1.254 2.228 2.065
-0.033 0.000 5.365
1.254 -2.228 2.065
3.829 2.228 5.373
5.116 0.000 2.073
3.829 -2.228 5.373

---

GGA-PBE BaLa2Pm3Te6, relaxed; energy relative to the elements, uncorrected = -1.514 eV/atom; space-group type = C2/m (12); crystal system = monoclinic; VASP energy = -5.254 eV/atom
1.0
9.985 -2.276 0.000
9.985 2.276 0.000
-2.155 0.000 8.982
Ba La Pm Te
1 2 3 6
Cartesian
0.000 0.000 0.000
5.173 0.000 5.946
12.643 0.000 3.036
-1.077 0.000 4.491
6.335 0.000 1.586
11.480 0.000 7.396
2.010 0.000 5.255
3.298 0.000 0.714
8.387 0.000 6.586
9.429 0.000 2.396
14.518 0.000 8.268
15.806 0.000 3.727

---

GGA-PBE Ba3La2PmTe6, relaxed; energy relative to the elements, uncorrected = -1.631 eV/atom; space-group type = C2/m (12); crystal system = monoclinic; VASP energy = -4.899 eV/atom
1.0
4.075 -7.049 0.000
4.075 7.049 0.000
-2.715 0.000 7.916
Ba La Pm Te
3 2 1 6
Cartesian
0.000 0.000 0.000
4.075 2.370 0.000
4.075 -2.370 0.000
2.717 4.703 3.958
2.717 -4.703 3.958
2.717 0.000 3.958
1.376 2.321 2.170
0.037 0.000 5.759
1.376 -2.321 2.170
4.058 2.321 5.746
5.398 0.000 2.157
4.058 -2.321 5.746

---

GGA-PBE BaLa3Pm2Te6, relaxed; energy relative to the elements, uncorrected = -1.533 eV/atom; space-group type = C2/m (12); crystal system = monoclinic; VASP energy = -5.288 eV/atom
1.0
10.013 -2.292 0.000
10.013 2.292 0.000
-2.118 0.000 9.013
Ba La Pm Te
1 3 2 6
Cartesian
0.000 0.000 0.000
-1.059 0.000 4.507
6.381 0.000 1.564
11.526 0.000 7.449
5.208 0.000 5.933
12.699 0.000 3.080
2.115 0.000 5.223
3.267 0.000 0.825
8.350 0.000 6.631
9.557 0.000 2.383
14.641 0.000 8.188
15.793 0.000 3.790

---

GGA-PBE Ba3LaPm2Te6, relaxed; energy relative to the elements, uncorrected = -1.602 eV/atom; space-group type = C2/m (12); crystal system = monoclinic; VASP energy = -4.856 eV/atom
1.0
4.052 -7.008 0.000
4.052 7.008 0.000
-2.700 0.000 7.901
Ba La Pm Te
3 1 2 6
Cartesian
0.000 0.000 0.000
4.052 2.316 0.000
4.052 -2.316 0.000
2.702 0.000 3.951
2.702 4.672 3.951
2.702 -4.672 3.951
1.334 2.366 2.174
-0.033 0.000 5.717
1.334 -2.366 2.174
4.069 2.366 5.727
5.436 0.000 2.184
4.069 -2.366 5.727

---

GGA-PBE BaLaPm2Tl4, relaxed; space-group type = R-3m (166); crystal system = trigonal; E_form = -0.339 eV per atom; VASP energy = -3.566 eV/atom
1.0
2.833 1.635 9.291
-2.833 1.635 9.291
0.000 -3.271 9.291
Ba La Pm Tl
1 1 2 4
Cartesian
0.000 0.000 0.000
0.000 0.000 13.936
0.000 0.000 6.999
0.000 0.000 20.873
0.000 0.000 3.572
0.000 0.000 10.584
0.000 0.000 17.288
0.000 0.000 24.300

---

GGA-PBE BaLa2PmTl4, relaxed; space-group type = R-3m (166); crystal system = trigonal; E_form = -0.361 eV per atom; VASP energy = -3.610 eV/atom
1.0
2.845 1.643 9.358
-2.845 1.643 9.358
0.000 -3.285 9.358
Ba La Pm Tl
1 2 1 4
Cartesian
0.000 0.000 0.000
0.000 0.000 7.059
0.000 0.000 21.015
0.000 0.000 14.037
0.000 0.000 3.633
0.000 0.000 10.749
0.000 0.000 17.325
0.000 0.000 24.441

---

GGA-PBE BaLa2Pr, relaxed; space-group type = R-3m (166); crystal system = trigonal; E_form = 0.102 eV per atom; VASP energy = -4.037 eV/atom
1.0
1.918 1.107 12.832
-1.918 1.107 12.832
0.000 -2.215 12.832
Ba La Pr
1 2 1
Cartesian
0.000 0.000 0.000
0.000 0.000 9.372
0.000 0.000 29.125
0.000 0.000 19.248

---

Which value of VASP energy does entry 7 give? -3.610 eV/atom

---

What is the formula in the second record? BaLa2Pm3Te6

---

Which of these has the highest VASP energy? BaLaPm2Tl4